# CsBa2FeO4 GGA+U optimized geometry
data_CsBa2FeO4
_cell_length_a 3.759
_cell_length_b 13.908
_cell_length_c 13.100
_cell_angle_alpha 90.00
_cell_angle_beta 90.00
_cell_angle_gamma 90.00
_symmetry_space_group_name_H-M 'C m c m'
_symmetry_Int_Tables_number 63
_symmetry_space_group_name_Hall '-C 2c 2'
loop_
_atom_site_label
_atom_site_fract_x
_atom_site_fract_y
_atom_site_fract_z
Cs1 0.000 0.091 0.250
Ba1 0.000 0.371 0.037
Fe1 0.000 0.186 0.750
O1 0.000 0.000 0.000
O2 0.000 0.254 0.628
O3 0.000 0.379 0.250
# **Calculated volume**: 685.0 Å³/cell
# **Total energy**: -5.738 eV/atom
# **Spin magnetization**: 0.617 μB/atom
# **Density of states at the Fermi level**: 0.00 states/eV/f.u.